1.
The following is a GGA-PBEsol calculation of a relaxed TaCrSeN2 crystal, from Alexandria via LeMat-Bulk. Values from VASP.

```
&SYSTEM
  ibrav = 0, nat = 5, ntyp = 4
/
ATOMIC_SPECIES
Cr 52.00 Cr.upf
N 14.01 N.upf
Se 78.96 Se.upf
Ta 180.95 Ta.upf
CELL_PARAMETERS angstrom
-1.343 3.256 1.072
-3.329 -1.514 0.427
1.051 -1.046 4.491
ATOMIC_POSITIONS angstrom
Cr 0.000 0.000 0.000
N -1.664 -0.757 0.213
N -0.672 1.628 0.536
Se 0.526 -0.523 2.246
Ta -1.810 0.348 2.995
```


2.
The following is a GGA-PBEsol calculation of a relaxed MgNiRu2 crystal, from Alexandria via LeMat-Bulk. Values from VASP.

```
&SYSTEM
  ibrav = 0, nat = 4, ntyp = 3
/
ATOMIC_SPECIES
Mg 24.30 Mg.upf
Ni 58.69 Ni.upf
Ru 101.07 Ru.upf
CELL_PARAMETERS angstrom
-2.750 0.813 -0.580
-0.272 -2.246 -1.855
-2.073 -3.646 4.718
ATOMIC_POSITIONS angstrom
Mg -1.511 -0.716 -1.218
Ni -2.548 -2.540 1.142
Ru -1.478 -2.600 3.364
Ru -0.595 -1.046 1.354
```


3.
The following is a GGA-PBEsol calculation of a relaxed BaSrLa4O8 crystal, from Alexandria via LeMat-Bulk. Values from VASP.

```
&SYSTEM
  ibrav = 0, nat = 28, ntyp = 4
/
ATOMIC_SPECIES
Ba 137.33 Ba.upf
Sr 87.62 Sr.upf
La 138.91 La.upf
O 16.00 O.upf
CELL_PARAMETERS angstrom
-2.879 2.217 0.393
-6.156 -8.261 1.508
2.152 0.626 12.218
ATOMIC_POSITIONS angstrom
Ba -1.628 -0.511 7.939
Ba -5.153 -4.771 6.155
Sr -2.684 -5.622 12.034
Sr -1.297 -1.983 1.686
La -5.611 -5.954 9.462
La -3.165 -2.007 5.121
La 1.317 -0.191 10.714
La -3.336 -4.780 2.526
La -6.884 -6.497 3.213
La -2.222 -1.906 11.450
La 0.370 -0.334 4.584
La -2.135 -4.298 8.593
O -0.461 1.355 5.964
O -3.416 -2.739 7.419
O -0.002 -0.103 0.568
O -1.119 -3.663 12.451
O -5.746 -4.809 2.025
O -0.777 -0.128 12.006
O -0.796 -2.047 5.703
O -3.583 -6.092 8.114
O -5.348 -6.039 11.871
O -3.738 -2.335 2.787
O 1.099 -0.057 8.362
O -2.742 -4.410 4.786
O -3.747 -3.709 10.462
O -1.793 0.094 3.328
O -0.673 -2.573 9.577
O -4.777 -7.003 4.503
```


4.
The following is a GGA-PBEsol calculation of a relaxed La2YPb crystal, from Alexandria via LeMat-Bulk. Values from VASP.

```
&SYSTEM
  ibrav = 0, nat = 4, ntyp = 3
/
ATOMIC_SPECIES
Pb 207.20 Pb.upf
Y 88.91 Y.upf
La 138.91 La.upf
CELL_PARAMETERS angstrom
4.320 0.000 0.000
0.000 4.320 0.000
0.000 0.000 6.750
ATOMIC_POSITIONS angstrom
Pb 2.160 2.160 0.000
Y 2.160 2.160 3.375
La 0.000 0.000 5.208
La 0.000 0.000 1.542
```


5.
The following is a GGA-PBEsol calculation of a relaxed Sr6Bi2O11 crystal, from Alexandria via LeMat-Bulk. Values from VASP.

```
&SYSTEM
  ibrav = 0, nat = 38, ntyp = 3
/
ATOMIC_SPECIES
Sr 87.62 Sr.upf
Bi 208.98 Bi.upf
O 16.00 O.upf
CELL_PARAMETERS angstrom
8.606 0.000 0.000
0.000 8.606 0.000
0.000 0.000 9.014
ATOMIC_POSITIONS angstrom
Sr 2.362 6.665 7.114
Sr 2.362 1.941 7.114
Sr 1.941 2.362 1.900
Sr 1.941 6.244 1.900
Sr 4.303 4.303 4.507
Sr 6.244 1.941 7.114
Sr 4.303 0.000 0.571
Sr 6.244 6.665 7.114
Sr 6.665 6.244 1.900
Sr 6.665 2.362 1.900
Sr 0.000 0.000 4.507
Sr 0.000 4.303 8.443
Bi 0.000 0.000 0.000
Bi 4.303 0.000 4.854
Bi 4.303 4.303 0.000
Bi 0.000 4.303 4.160
O 2.181 4.303 0.185
O 4.303 6.424 8.829
O 2.313 0.000 5.514
O 1.990 4.303 3.500
O 4.303 1.990 5.514
O 0.000 6.484 0.185
O 6.484 0.000 8.829
O 4.303 4.303 2.076
O 4.303 4.303 6.937
O 2.122 0.000 8.829
O 0.000 2.122 0.185
O 4.303 6.616 5.514
O 6.616 4.303 3.500
O 4.303 0.000 2.817
O 0.000 4.303 6.196
O 6.293 0.000 5.514
O 0.000 6.293 3.500
O 4.303 2.181 8.829
O 0.000 0.000 2.076
O 0.000 0.000 6.937
O 6.424 4.303 0.185
O 0.000 2.313 3.500
```


6.
The following is a GGA-PBEsol calculation of a relaxed KRh2Se crystal, from Alexandria via LeMat-Bulk. Values from VASP.

```
&SYSTEM
  ibrav = 0, nat = 4, ntyp = 3
/
ATOMIC_SPECIES
K 39.10 K.upf
Rh 102.91 Rh.upf
Se 78.96 Se.upf
CELL_PARAMETERS angstrom
-2.433 1.110 0.807
-2.445 -3.583 -2.701
2.404 -1.588 4.727
ATOMIC_POSITIONS angstrom
K -2.439 -1.236 -0.947
Rh 1.202 -0.794 2.363
Rh -1.237 -2.031 1.416
Se 0.000 0.000 0.000
```


no.,VASP energy (eV per cell)
1,-40.652
2,-27.182
3,-224.399
4,-22.764
5,-233.852
6,-19.235